{
  "formula": "Cs3KW2O8",
  "functional": "GGA+U",
  "state": "relaxed",
  "dos_ef_per_ev_cell": 0.000,
  "total_energy_ev_per_cell": -86.6,
  "lattice_angstrom": [[6.6715, 0.0000, 0.0000], [-3.3358, 5.7777, 0.0000], [0.0000, 0.0000, 8.5479]],
  "species": ["Cs", "Cs", "Cs", "K", "W", "W", "O", "O", "O", "O", "O", "O", "O", "O"],
  "frac_coords": [[0.0000, 0.0000, 0.0000], [0.3333, 0.6667, 0.6713], [0.6667, 0.3333, 0.3287], [0.0000, 0.0000, 0.5000], [0.3333, 0.6667, 0.2199], [0.6667, 0.3333, 0.7801], [0.1854, 0.3708, 0.2943], [0.1854, 0.8146, 0.2943], [0.3333, 0.6667, 0.0080], [0.3708, 0.1854, 0.7057], [0.6292, 0.8146, 0.2943], [0.6667, 0.3333, 0.9920], [0.8146, 0.1854, 0.7057], [0.8146, 0.6292, 0.7057]]
}